An optimized crystal structure of PmNdSmY. Source: the Alexandria database, functional PBE-GGA.

Properties
DOS at the Fermi energy in states/eV/f.u.: 9.16
Energy of formation from the pure elements in eV per atom: 0.125
ρ in g cm⁻³: 6.4
ΔE to the lowest computed polymorph in meV per atom: 111
E in eV per atom: -5.05
SG: No. 216

The structure in CIF format:
```
data_PmNdSmY
_chemical_formula_sum 'Pm1 Nd1 Sm1 Y1'
_cell_length_a 5.779
_cell_length_b 5.779
_cell_length_c 5.779
_cell_angle_alpha 60.00
_cell_angle_beta 60.00
_cell_angle_gamma 60.00
_space_group_name_H-M_alt 'P 1'
_space_group_IT_number 1
loop_
_space_group_symop_operation_xyz
'x,y,z'
loop_
_atom_site_label
_atom_site_type_symbol
_atom_site_fract_x
_atom_site_fract_y
_atom_site_fract_z
Pm1 Pm 0.000 0.000 0.000
Nd1 Nd 0.500 0.500 0.500
Sm1 Sm 0.250 0.250 0.250
Y1 Y 0.750 0.750 0.750
```

***

An optimized crystal structure of DyYMg2. Source: the Alexandria database, functional PBE-GGA.

Properties
DOS at the Fermi energy in states/eV/f.u.: 5.34
Energy of formation from the pure elements in eV per atom: -0.096
ρ in g cm⁻³: 4.6
E in eV per atom: -3.66
SG: No. 123

The structure in CIF format:
```
data_DyYMg2
_chemical_formula_sum 'Dy1 Y1 Mg2'
_cell_length_a 5.391
_cell_length_b 5.391
_cell_length_c 3.761
_cell_angle_alpha 90.00
_cell_angle_beta 90.00
_cell_angle_gamma 90.00
_space_group_name_H-M_alt 'P 1'
_space_group_IT_number 1
loop_
_space_group_symop_operation_xyz
'x,y,z'
loop_
_atom_site_label
_atom_site_type_symbol
_atom_site_fract_x
_atom_site_fract_y
_atom_site_fract_z
Dy1 Dy 0.000 0.000 0.000
Y1 Y 0.500 0.500 0.000
Mg1 Mg 0.000 0.500 0.500
Mg2 Mg 0.500 0.000 0.500
```

***

An optimized crystal structure of Hg7Br. Source: the Alexandria database, functional PBE-GGA.

Properties
DOS at the Fermi energy in states/eV/f.u.: 1.57
Energy relative to the elements, uncorrected in eV/atom: -0.048
ρ in g cm⁻³: 10.7
E in eV per atom: -0.52
SG: No. 139

The structure in CIF format:
```
data_Hg7Br
_chemical_formula_sum 'Hg7 Br1'
_cell_length_a 8.838
_cell_length_b 8.838
_cell_length_c 8.838
_cell_angle_alpha 144.71
_cell_angle_beta 144.71
_cell_angle_gamma 50.77
_space_group_name_H-M_alt 'P 1'
_space_group_IT_number 1
loop_
_space_group_symop_operation_xyz
'x,y,z'
loop_
_atom_site_label
_atom_site_type_symbol
_atom_site_fract_x
_atom_site_fract_y
_atom_site_fract_z
Hg1 Hg 0.000 0.000 0.000
Hg2 Hg 0.129 0.629 0.500
Hg3 Hg 0.249 0.249 0.000
Hg4 Hg 0.371 0.871 0.500
Hg5 Hg 0.629 0.129 0.500
Hg6 Hg 0.751 0.751 0.000
Hg7 Hg 0.871 0.371 0.500
Br1 Br 0.500 0.500 0.000
```

***

An optimized crystal structure of PmSm4Ir2. Source: the Alexandria database, functional PBE-GGA.

Properties
DOS at the Fermi energy in states/eV/f.u.: 7.02
Energy of formation from the pure elements in eV per atom: -0.403
ρ in g cm⁻³: 8.6
ΔE to the lowest computed polymorph in meV per atom: 26
E in eV per atom: -6.31
SG: No. 166

The structure in CIF format:
```
data_PmSm4Ir2
_chemical_formula_sum 'Pm1 Sm4 Ir2'
_cell_length_a 14.561
_cell_length_b 14.561
_cell_length_c 14.561
_cell_angle_alpha 16.54
_cell_angle_beta 16.54
_cell_angle_gamma 16.54
_space_group_name_H-M_alt 'P 1'
_space_group_IT_number 1
loop_
_space_group_symop_operation_xyz
'x,y,z'
loop_
_atom_site_label
_atom_site_type_symbol
_atom_site_fract_x
_atom_site_fract_y
_atom_site_fract_z
Pm1 Pm 0.000 0.000 0.000
Sm1 Sm 0.201 0.201 0.201
Sm2 Sm 0.399 0.399 0.399
Sm3 Sm 0.601 0.601 0.601
Sm4 Sm 0.799 0.799 0.799
Ir1 Ir 0.100 0.100 0.100
Ir2 Ir 0.900 0.900 0.900
```

***

An optimized crystal structure of SnPRu3. Source: the Alexandria database, functional PBE-GGA.

Properties
DOS at the Fermi energy in states/eV/f.u.: 3.97
Energy of formation from the pure elements in eV per atom: 0.167
ρ in g cm⁻³: 9.0
ΔE to the lowest computed polymorph in meV per atom: 0
E in eV per atom: -7.28
SG: No. 221

The structure in CIF format:
```
data_SnPRu3
_chemical_formula_sum 'Sn1 P1 Ru3'
_cell_length_a 4.375
_cell_length_b 4.375
_cell_length_c 4.375
_cell_angle_alpha 90.00
_cell_angle_beta 90.00
_cell_angle_gamma 90.00
_space_group_name_H-M_alt 'P 1'
_space_group_IT_number 1
loop_
_space_group_symop_operation_xyz
'x,y,z'
loop_
_atom_site_label
_atom_site_type_symbol
_atom_site_fract_x
_atom_site_fract_y
_atom_site_fract_z
Sn1 Sn 0.000 0.000 0.000
P1 P 0.500 0.500 0.500
Ru1 Ru 0.000 0.500 0.500
Ru2 Ru 0.500 0.000 0.500
Ru3 Ru 0.500 0.500 0.000
```

***

An optimized crystal structure of BaIn2Cu2. Source: the Alexandria database, functional PBE-GGA.

Properties
DOS at the Fermi energy in states/eV/f.u.: 4.24
Energy of formation from the pure elements in eV per atom: 0.064
ρ in g cm⁻³: 6.7
E in eV per atom: -3.05
SG: No. 127

The structure in CIF format:
```
data_BaIn2Cu2
_chemical_formula_sum 'Ba2 In4 Cu4'
_cell_length_a 8.149
_cell_length_b 8.149
_cell_length_c 3.708
_cell_angle_alpha 90.00
_cell_angle_beta 90.00
_cell_angle_gamma 90.00
_space_group_name_H-M_alt 'P 1'
_space_group_IT_number 1
loop_
_space_group_symop_operation_xyz
'x,y,z'
loop_
_atom_site_label
_atom_site_type_symbol
_atom_site_fract_x
_atom_site_fract_y
_atom_site_fract_z
Ba1 Ba 0.000 0.000 0.000
Ba2 Ba 0.500 0.500 0.000
In1 In 0.156 0.344 0.500
In2 In 0.344 0.844 0.500
In3 In 0.656 0.156 0.500
In4 In 0.844 0.656 0.500
Cu1 Cu 0.110 0.610 0.000
Cu2 Cu 0.390 0.110 0.000
Cu3 Cu 0.610 0.890 0.000
Cu4 Cu 0.890 0.390 0.000
```

***

An optimized crystal structure of CaUPtO6. Source: the Alexandria database, functional PBE-GGA.

Properties
Energy relative to the elements, uncorrected in eV/atom: -2.270
ρ in g cm⁻³: 7.3
E in eV per atom: -7.72
SG: No. 163

The structure in CIF format:
```
data_CaUPtO6
_chemical_formula_sum 'Ca2 U2 Pt2 O12'
_cell_length_a 5.358
_cell_length_b 5.358
_cell_length_c 10.407
_cell_angle_alpha 90.00
_cell_angle_beta 90.00
_cell_angle_gamma 120.00
_space_group_name_H-M_alt 'P 1'
_space_group_IT_number 1
loop_
_space_group_symop_operation_xyz
'x,y,z'
loop_
_atom_site_label
_atom_site_type_symbol
_atom_site_fract_x
_atom_site_fract_y
_atom_site_fract_z
Ca1 Ca 0.000 0.000 0.000
Ca2 Ca 0.000 0.000 0.500
U1 U 0.333 0.667 0.250
U2 U 0.667 0.333 0.750
Pt1 Pt 0.333 0.667 0.750
Pt2 Pt 0.667 0.333 0.250
O1 O 0.008 0.357 0.641
O2 O 0.008 0.652 0.859
O3 O 0.348 0.357 0.859
O4 O 0.348 0.992 0.641
O5 O 0.357 0.008 0.141
O6 O 0.357 0.348 0.359
O7 O 0.643 0.652 0.641
O8 O 0.643 0.992 0.859
O9 O 0.652 0.008 0.359
O10 O 0.652 0.643 0.141
O11 O 0.992 0.348 0.141
O12 O 0.992 0.643 0.359
```

***

An optimized crystal structure of Ag2Br3. Source: the Alexandria database, functional PBE-GGA.

Properties
DOS at the Fermi energy in states/eV/f.u.: 5.74
Energy relative to the elements, uncorrected in eV/atom: -0.228
ρ in g cm⁻³: 5.2
ΔE to the lowest computed polymorph in meV per atom: 37
E in eV per atom: -2.37
SG: No. 43

The structure in CIF format:
```
data_Ag2Br3
_chemical_formula_sum 'Ag4 Br6'
_cell_length_a 7.644
_cell_length_b 7.135
_cell_length_c 9.313
_cell_angle_alpha 53.41
_cell_angle_beta 48.55
_cell_angle_gamma 78.04
_space_group_name_H-M_alt 'P 1'
_space_group_IT_number 1
loop_
_space_group_symop_operation_xyz
'x,y,z'
loop_
_atom_site_label
_atom_site_type_symbol
_atom_site_fract_x
_atom_site_fract_y
_atom_site_fract_z
Ag1 Ag 0.184 0.816 0.430
Ag2 Ag 0.680 0.820 0.434
Ag3 Ag 0.816 0.184 0.570
Ag4 Ag 0.820 0.680 0.066
Br1 Br 0.076 0.654 0.288
Br2 Br 0.268 0.962 0.596
Br3 Br 0.445 0.445 0.555
Br4 Br 0.654 0.076 0.982
Br5 Br 0.695 0.695 0.805
Br6 Br 0.962 0.268 0.174
```

***

An optimized crystal structure of Na8HgAs2. Source: the Alexandria database, functional PBE-GGA.

Properties
DOS at the Fermi energy in states/eV/f.u.: 3.31
Energy of formation from the pure elements in eV per atom: -0.301
ρ in g cm⁻³: 3.1
E in eV per atom: -2.13
SG: No. 12

The structure in CIF format:
```
data_Na8HgAs2
_chemical_formula_sum 'Na8 Hg1 As2'
_cell_length_a 8.455
_cell_length_b 8.455
_cell_length_c 8.470
_cell_angle_alpha 120.04
_cell_angle_beta 120.04
_cell_angle_gamma 33.90
_space_group_name_H-M_alt 'P 1'
_space_group_IT_number 1
loop_
_space_group_symop_operation_xyz
'x,y,z'
loop_
_atom_site_label
_atom_site_type_symbol
_atom_site_fract_x
_atom_site_fract_y
_atom_site_fract_z
Na1 Na 0.000 0.000 0.179
Na2 Na 0.000 0.000 0.821
Na3 Na 0.152 0.152 0.653
Na4 Na 0.334 0.334 0.624
Na5 Na 0.335 0.335 0.045
Na6 Na 0.665 0.665 0.955
Na7 Na 0.666 0.666 0.376
Na8 Na 0.848 0.848 0.347
Hg1 Hg 0.500 0.500 0.500
As1 As 0.197 0.197 0.196
As2 As 0.803 0.803 0.804
```

***

An optimized crystal structure of HgF3. Source: the Alexandria database, functional PBE-GGA.

Properties
DOS at the Fermi energy in states/eV/f.u.: 5.47
Energy relative to the elements, uncorrected in eV/atom: -0.809
ρ in g cm⁻³: 8.9
ΔE to the lowest computed polymorph in meV per atom: 300
E in eV per atom: -2.29
SG: No. 139

The structure in CIF format:
```
data_HgF3
_chemical_formula_sum 'Hg1 F3'
_cell_length_a 4.104
_cell_length_b 4.104
_cell_length_c 4.104
_cell_angle_alpha 121.18
_cell_angle_beta 121.18
_cell_angle_gamma 87.97
_space_group_name_H-M_alt 'P 1'
_space_group_IT_number 1
loop_
_space_group_symop_operation_xyz
'x,y,z'
loop_
_atom_site_label
_atom_site_type_symbol
_atom_site_fract_x
_atom_site_fract_y
_atom_site_fract_z
Hg1 Hg 0.000 0.000 0.000
F1 F 0.250 0.750 0.500
F2 F 0.500 0.500 0.000
F3 F 0.750 0.250 0.500
```